## SrCoRe (GGA-PBE)

Data for a relaxed SrCoRe crystal.

```
SrCoRe
1.0
5.175 0.000 0.000
0.000 4.219 0.000
-1.184 0.000 5.601
Sr Co Re
2 2 2
direct
0.245 0.250 0.440
0.755 0.750 0.560
0.084 0.250 0.933
0.916 0.750 0.067
0.360 0.750 0.972
0.640 0.250 0.028
```

Calculated values
Total moment, μB per formula unit: 1.0
Space group: No. 11
Formation enthalpy at 0 K, meV/atom: 316
ΔE to the lowest computed polymorph, eV/atom: 0.037
Density, g/cm3: 9.0
D(E_F), states/eV per cell: 6.6
Volume, Å³/atom: 20.380